{
  "formula": "BeCdAs2",
  "functional": "meta-GGA SCAN",
  "state": "single point on PBEsol structure",
  "lattice_angstrom": [[4.3511, 0.0000, 0.0000], [0.0000, 4.3511, 0.0000], [0.0000, 0.0000, 3.6979]],
  "species": ["Be", "Cd", "As", "As"],
  "fractional_positions": [[0.0000, 0.0000, 0.0000], [0.5000, 0.5000, 0.0000], [0.0000, 0.5000, 0.5000], [0.5000, 0.0000, 0.5000]],
  "magnetic_moment_mub_per_atom": 0.0000,
  "formation_energy_ev_per_atom": 0.53,
  "space_group": "P4/mmm",
  "dft_energy_ev_per_atom": -18.25
}

***

{
  "formula": "BiPd2C",
  "functional": "meta-GGA SCAN",
  "state": "single point on PBEsol structure",
  "lattice_angstrom": [[0.0000, 3.1573, 3.1573], [3.1573, 0.0000, 3.1573], [3.1573, 3.1573, 0.0000]],
  "species": ["Bi", "Pd", "Pd", "C"],
  "fractional_positions": [[0.0000, 0.0000, 0.0000], [0.2500, 0.2500, 0.2500], [0.7500, 0.7500, 0.7500], [0.5000, 0.5000, 0.5000]],
  "magnetic_moment_mub_per_atom": 0.0001,
  "formation_energy_ev_per_atom": 1.16,
  "space_group": "Fm-3m",
  "dft_energy_ev_per_atom": -37.39
}

***

{
  "formula": "Mn3Cu2NiO8",
  "functional": "meta-GGA SCAN",
  "state": "single point on PBEsol structure",
  "lattice_angstrom": [[2.8745, 1.6596, 4.7547], [-2.8745, 1.6596, 4.7547], [0.0000, -3.3192, 4.7547]],
  "species": ["Mn", "Mn", "Mn", "Cu", "Cu", "Ni", "O", "O", "O", "O", "O", "O", "O", "O"],
  "fractional_positions": [[0.0000, 0.5000, 0.5000], [0.5000, 0.0000, 0.5000], [0.5000, 0.5000, 0.0000], [0.1243, 0.1243, 0.1243], [0.8757, 0.8757, 0.8757], [0.5000, 0.5000, 0.5000], [0.2554, 0.2554, 0.7116], [0.2554, 0.7116, 0.2554], [0.2619, 0.2619, 0.2619], [0.2884, 0.7446, 0.7446], [0.7116, 0.2554, 0.2554], [0.7381, 0.7381, 0.7381], [0.7446, 0.2884, 0.7446], [0.7446, 0.7446, 0.2884]],
  "magnetic_moment_mub_per_atom": 0.7854,
  "space_group": "R-3m",
  "dft_energy_ev_per_atom": -12.49,
  "raw_formation_energy_ev_per_atom": -1.694
}